# Nd2Al9Co3, optimized geometry, DFT GGA-PBEsol
data_Nd2Al9Co3
_chemical_formula_sum 'Nd8 Al36 Co12'
_space_group_name_H-M_alt 'C m c m'
_space_group_IT_number 63
_space_group_name_Hall '-C 2c 2'
_cell_length_a 12.733
_cell_length_b 7.486
_cell_length_c 9.355
_cell_angle_alpha 90.00
_cell_angle_beta 90.00
_cell_angle_gamma 90.00
loop_
_atom_site_label
_atom_site_type_symbol
_atom_site_fract_x
_atom_site_fract_y
_atom_site_fract_z
Nd1 Nd 0.160 0.168 0.250
Al1 Al 0.000 0.127 0.750
Al2 Al 0.000 0.333 0.037
Al3 Al 0.107 0.445 0.750
Al4 Al 0.168 0.167 0.570
Co1 Co 0.000 0.000 0.000
Co2 Co 0.170 0.500 0.000
# Formation energy from the elements: -0.53 eV per atom
# Density: 5275 kg/m3
# Density of states at the Fermi level: 29.6 states/eV per cell


# ZnBTe2N, optimized geometry, DFT GGA-PBEsol
data_ZnBTe2N
_chemical_formula_sum 'Zn1 B1 Te2 N1'
_space_group_name_H-M_alt 'P 4/m m m'
_space_group_IT_number 123
_space_group_name_Hall '-P 4 2'
_cell_length_a 5.378
_cell_length_b 5.378
_cell_length_c 3.503
_cell_angle_alpha 90.00
_cell_angle_beta 90.00
_cell_angle_gamma 90.00
loop_
_atom_site_label
_atom_site_type_symbol
_atom_site_fract_x
_atom_site_fract_y
_atom_site_fract_z
Zn1 Zn 0.000 0.000 0.000
B1 B 0.500 0.500 0.500
Te1 Te 0.000 0.500 0.000
N1 N 0.000 0.000 0.500
# Raw formation energy: 1540 meV per atom
# Density: 5660 kg/m3
# Density of states at the Fermi level: 3.6 states/eV per cell